Entry 1:
Entry from the Alexandria database: KInP2O7 after structural relaxation (PBEsol).

Properties
Formation energy (no corrections) (eV/atom): -2.192
Volume (Å³ per cell): 631.79

The structure in extended XYZ format:
```
44
Lattice="-4.7578 4.4782 -3.5390 -3.5097 -7.7088 0.2073 -4.6001 2.3403 9.1458" Properties=species:S:1:pos:R:3 pbc="T T T"
K -8.6079 1.9398 3.3592
K -4.2598 -2.8300 2.4549
K -1.8497 0.6910 1.0487
K -11.0179 -1.5812 4.7654
In -4.7827 0.4694 4.6926
In -4.9373 1.7861 -1.7513
In -8.0849 -1.3597 1.1215
In -7.9303 -2.6764 7.5654
P -6.7536 2.4923 6.3261
P -5.3640 0.9830 1.3820
P -6.1141 -3.3826 -0.5120
P -7.5036 -1.8732 4.4321
P -6.2623 -4.3572 5.2180
P -5.8739 0.1924 7.8311
P -6.6053 3.4669 0.5961
P -6.9937 -1.0826 -2.0170
O -6.4978 -1.1716 7.9096
O -6.0144 4.8477 0.5832
O -6.3698 0.2814 -2.0955
O -6.8532 -5.7379 5.2309
O -8.1171 3.1571 6.1501
O -4.5193 0.5821 2.5894
O -4.7506 -4.0473 -0.3360
O -8.3484 -1.4724 3.2247
O -5.7218 3.3519 7.0350
O -6.7085 0.2825 1.2949
O -7.1458 -4.2422 -1.2209
O -6.1591 -1.1727 4.5192
O -7.0105 1.2241 7.3113
O -5.7097 2.5578 1.5950
O -5.8572 -2.1143 -1.4972
O -7.1579 -3.4481 4.2191
O -8.4001 -1.7764 5.6754
O -6.5291 -2.8121 0.8522
O -4.4675 0.8862 0.1387
O -6.3385 1.9219 4.9619
O -4.8370 -4.3000 4.6568
O -12.0551 0.7101 5.7735
O -8.0306 3.4098 1.1573
O -0.8125 -1.6003 0.0407
O -6.2913 -3.7089 6.6112
O -8.1654 -1.1201 -1.0231
O -6.5763 2.8186 -0.7971
O -4.7023 0.2299 6.8372
```

Entry 2:
Entry from the Alexandria database: AsOs2Pb after structural relaxation (PBEsol).

Properties
Calculated formation energy (meV/atom): 690
ΔE to the lowest computed polymorph (eV per atom): 0.169
Volume (Å³ per cell): 68.39

The structure in extended XYZ format:
```
4
Lattice="3.0037 0.0000 0.0000 -1.5019 4.0917 0.0154 0.0000 -1.1397 5.5606" Properties=species:S:1:pos:R:3 pbc="T T T"
Pb 1.5019 0.0000 0.0000
As 0.0000 -0.5699 2.7803
Os 1.5019 1.2108 3.8783
Os 0.0000 1.7412 1.6977
```

Entry 3:
Entry from the Alexandria database: MgTlPb2 after structural relaxation (PBEsol).

Properties
Calculated formation energy (meV/atom): -22
Volume (Å³ per cell): 109.76

The structure in extended XYZ format:
```
4
Lattice="-1.1930 2.2289 2.3643 1.6035 -2.7273 3.3802 5.9759 3.3439 -0.1369" Properties=species:S:1:pos:R:3 pbc="T T T"
Pb 5.8997 3.3013 -0.1351
Pb 1.7249 0.6012 2.8374
Tl 3.0557 1.7099 -0.0700
Mg 4.6698 2.2490 2.7700
```